Entry P
The following is a PBE-GGA calculation of a geometry-optimized Tc2TeP structure, from the Alexandria database.

Symmetry: R3m, No. 160

Unit cell a=8.355 b=8.355 c=8.355 alpha=21.95 beta=21.95 gamma=21.95
Atoms (fractional coordinates):
Tc 0.000 0.000 0.000
Tc 0.243 0.243 0.243
Te 0.499 0.499 0.499
P 0.726 0.726 0.726

---

Entry Q
The following is a PBE-GGA calculation of a geometry-optimized Tc2TeP structure, from the Alexandria database.

Symmetry: Cmm2, No. 35

Unit cell a=2.946 b=2.946 c=9.533 alpha=90.00 beta=90.00 gamma=115.78
Atoms (fractional coordinates):
Tc 0.000 0.000 0.000
Tc 0.500 0.500 0.233
Te 0.000 0.000 0.465
P 0.500 0.500 0.819

---

Entry R
The following is a PBE-GGA calculation of a geometry-optimized Tc2TeP structure, from the Alexandria database.

Symmetry: Fm-3m, No. 225

Unit cell a=4.436 b=4.436 c=4.436 alpha=60.00 beta=60.00 gamma=60.00
Atoms (fractional coordinates):
Tc 0.250 0.250 0.250
Tc 0.750 0.750 0.750
Te 0.000 0.000 0.000
P 0.500 0.500 0.500

---

Entry S
The following is a PBE-GGA calculation of a geometry-optimized Tc2TeP structure, from the Alexandria database.

Symmetry: P4/mmm, No. 123

Unit cell a=3.111 b=3.111 c=6.377 alpha=90.00 beta=90.00 gamma=90.00
Atoms (fractional coordinates):
Tc 0.000 0.000 0.218
Tc 0.000 0.000 0.782
Te 0.500 0.500 0.500
P 0.500 0.500 0.000

---

Last place for stability: entry Q

---

Entry P
The following is a PBE-GGA calculation of a geometry-optimized Tc2TeP structure, from the Alexandria database.

Symmetry: C2/m, No. 12

Unit cell a=5.104 b=5.104 c=3.111 alpha=107.30 beta=107.30 gamma=106.45
Atoms (fractional coordinates):
Tc 0.000 0.500 0.000
Tc 0.500 0.000 0.000
Te 0.000 0.000 0.500
P 0.500 0.500 0.500

---

Entry Q
The following is a PBE-GGA calculation of a geometry-optimized Tc2TeP structure, from the Alexandria database.

Symmetry: Imm2, No. 44

Unit cell a=7.108 b=7.108 c=7.108 alpha=154.16 beta=153.68 gamma=37.22
Atoms (fractional coordinates):
Tc 0.000 0.000 0.000
Tc 0.813 0.313 0.500
Te 0.616 0.616 0.000
P 0.369 0.869 0.500

---

Entry R
The following is a PBE-GGA calculation of a geometry-optimized Tc2TeP structure, from the Alexandria database.

Symmetry: Immm, No. 71

Unit cell a=4.881 b=4.881 c=4.881 alpha=137.56 beta=116.64 gamma=79.26
Atoms (fractional coordinates):
Tc 0.196 0.196 0.000
Tc 0.804 0.804 0.000
Te 0.500 0.000 0.500
P 0.000 0.500 0.500

---

Entry S
The following is a PBE-GGA calculation of a geometry-optimized Tc2TeP structure, from the Alexandria database.

Symmetry: R-3m, No. 166

Unit cell a=6.457 b=6.457 c=6.457 alpha=33.14 beta=33.14 gamma=33.14
Atoms (fractional coordinates):
Tc 0.220 0.220 0.220
Tc 0.780 0.780 0.780
Te 0.000 0.000 0.000
P 0.500 0.500 0.500

---

Last place for stability: entry P

---

Entry P
The following is a PBE-GGA calculation of a geometry-optimized Tc2TeP structure, from the Alexandria database.

Symmetry: P4/mmm, No. 123

Unit cell a=4.425 b=4.425 c=3.164 alpha=90.00 beta=90.00 gamma=90.00
Atoms (fractional coordinates):
Tc 0.000 0.500 0.000
Tc 0.500 0.000 0.000
Te 0.000 0.000 0.500
P 0.500 0.500 0.500

---

Entry Q
The following is a PBE-GGA calculation of a geometry-optimized Tc2TeP structure, from the Alexandria database.

Symmetry: F-43m, No. 216

Unit cell a=4.540 b=4.540 c=4.540 alpha=60.00 beta=60.00 gamma=60.00
Atoms (fractional coordinates):
Tc 0.000 0.000 0.000
Tc 0.250 0.250 0.250
Te 0.750 0.750 0.750
P 0.500 0.500 0.500

---

Last place for stability: entry Q

---

Entry P
The following is a PBE-GGA calculation of a geometry-optimized Tc3TeP structure, from the Alexandria database.

Symmetry: Pm-3m, No. 221

Unit cell a=4.838 b=4.838 c=4.838 alpha=90.00 beta=90.00 gamma=90.00
Atoms (fractional coordinates):
Tc 0.000 0.000 0.500
Tc 0.000 0.500 0.000
Tc 0.500 0.000 0.000
Te 0.000 0.000 0.000
P 0.500 0.500 0.500

---

Entry Q
The following is a PBE-GGA calculation of a geometry-optimized Tc3TeP structure, from the Alexandria database.

Symmetry: Pm-3m, No. 221

Unit cell a=4.461 b=4.461 c=4.461 alpha=90.00 beta=90.00 gamma=90.00
Atoms (fractional coordinates):
Tc 0.000 0.000 0.500
Tc 0.000 0.500 0.000
Tc 0.500 0.000 0.000
Te 0.500 0.500 0.500
P 0.000 0.000 0.000

---

Last place for stability: entry P

---

Entry P
The following is a PBE-GGA calculation of a geometry-optimized ThTcP2 structure, from the Alexandria database.

Symmetry: I-4m2, No. 119

Unit cell a=5.743 b=5.743 c=5.743 alpha=139.36 beta=139.36 gamma=58.82
Atoms (fractional coordinates):
Th 0.000 0.000 0.000
Tc 0.750 0.250 0.500
P 0.371 0.371 0.000
P 0.629 0.629 0.000

---

Entry Q
The following is a PBE-GGA calculation of a geometry-optimized ThTcP2 structure, from the Alexandria database.

Symmetry: R-3m, No. 166

Unit cell a=5.393 b=5.393 c=5.393 alpha=45.34 beta=45.34 gamma=45.34
Atoms (fractional coordinates):
Th 0.000 0.000 0.000
Tc 0.500 0.500 0.500
P 0.216 0.216 0.216
P 0.784 0.784 0.784

---

Last place for stability: entry P

---

Entry P
The following is a PBE-GGA calculation of a geometry-optimized Tl2TcP structure, from the Alexandria database.

Symmetry: Cmmm, No. 65

Unit cell a=5.196 b=5.196 c=3.097 alpha=90.00 beta=90.00 gamma=106.08
Atoms (fractional coordinates):
Tl 0.000 0.500 0.000
Tl 0.500 0.000 0.000
Tc 0.000 0.000 0.500
P 0.500 0.500 0.500

---

Entry Q
The following is a PBE-GGA calculation of a geometry-optimized Tl2TcP structure, from the Alexandria database.

Symmetry: P4/mmm, No. 123

Unit cell a=3.107 b=3.107 c=8.645 alpha=90.00 beta=90.00 gamma=90.00
Atoms (fractional coordinates):
Tl 0.000 0.000 0.235
Tl 0.000 0.000 0.765
Tc 0.500 0.500 0.000
P 0.500 0.500 0.500

---

Last place for stability: entry Q

---

Entry P
The following is a PBE-GGA calculation of a geometry-optimized Tl2TcP structure, from the Alexandria database.

Symmetry: Pmmm, No. 47

Unit cell a=3.531 b=4.605 c=5.027 alpha=90.00 beta=90.00 gamma=90.00
Atoms (fractional coordinates):
Tl 0.000 0.000 0.000
Tl 0.500 0.000 0.500
Tc 0.000 0.500 0.500
P 0.500 0.500 0.000

---

Entry Q
The following is a PBE-GGA calculation of a geometry-optimized Tl2TcP structure, from the Alexandria database.

Symmetry: Imm2, No. 44

Unit cell a=6.897 b=6.897 c=6.897 alpha=153.94 beta=140.00 gamma=48.36
Atoms (fractional coordinates):
Tl 0.000 0.000 0.000
Tl 0.700 0.200 0.500
Tc 0.238 0.738 0.500
P 0.374 0.374 0.000

---

Entry R
The following is a PBE-GGA calculation of a geometry-optimized Tl2TcP structure, from the Alexandria database.

Symmetry: I4/mmm, No. 139

Unit cell a=5.851 b=5.851 c=5.851 alpha=138.72 beta=138.72 gamma=59.81
Atoms (fractional coordinates):
Tl 0.250 0.750 0.500
Tl 0.750 0.250 0.500
Tc 0.000 0.000 0.000
P 0.500 0.500 0.000

---

Last place for stability: entry R

---

Entry P
The following is a PBE-GGA calculation of a geometry-optimized UTcP2 structure, from the Alexandria database.

Symmetry: I-4m2, No. 119

Unit cell a=6.880 b=6.880 c=6.880 alpha=151.94 beta=151.94 gamma=40.10
Atoms (fractional coordinates):
U 0.000 0.000 0.000
Tc 0.250 0.750 0.500
P 0.373 0.373 0.000
P 0.627 0.627 0.000

---

Entry Q
The following is a PBE-GGA calculation of a geometry-optimized UTcP2 structure, from the Alexandria database.

Symmetry: R-3m, No. 166

Unit cell a=5.655 b=5.655 c=5.655 alpha=40.18 beta=40.18 gamma=40.18
Atoms (fractional coordinates):
U 0.000 0.000 0.000
Tc 0.500 0.500 0.500
P 0.233 0.233 0.233
P 0.767 0.767 0.767

---

Entry R
The following is a PBE-GGA calculation of a geometry-optimized UTcP2 structure, from the Alexandria database.

Symmetry: Pnma, No. 62

Unit cell a=6.471 b=4.265 c=10.021 alpha=90.00 beta=90.00 gamma=90.00
Atoms (fractional coordinates):
U 0.175 0.250 0.206
U 0.325 0.750 0.706
U 0.675 0.250 0.294
U 0.825 0.750 0.794
Tc 0.167 0.250 0.890
Tc 0.333 0.750 0.390
Tc 0.667 0.250 0.610
Tc 0.833 0.750 0.110
P 0.037 0.250 0.666
P 0.179 0.750 0.999
P 0.321 0.250 0.499
P 0.463 0.750 0.166
P 0.537 0.250 0.834
P 0.679 0.750 0.501
P 0.821 0.250 0.001
P 0.963 0.750 0.334

---

Entry S
The following is a PBE-GGA calculation of a geometry-optimized UTcP2 structure, from the Alexandria database.

Symmetry: R3m, No. 160

Unit cell a=6.505 b=6.505 c=6.505 alpha=32.73 beta=32.73 gamma=32.73
Atoms (fractional coordinates):
U 0.000 0.000 0.000
Tc 0.824 0.824 0.824
P 0.430 0.430 0.430
P 0.564 0.564 0.564

---

Last place for stability: entry P

---

Entry P
The following is a PBE-GGA calculation of a geometry-optimized UTcP structure, from the Alexandria database.

Symmetry: P2_1/m, No. 11

Unit cell a=3.949 b=5.488 c=5.273 alpha=90.00 beta=104.70 gamma=90.00
Atoms (fractional coordinates):
U 0.178 0.250 0.267
U 0.822 0.750 0.733
Tc 0.405 0.250 0.909
Tc 0.595 0.750 0.091
P 0.180 0.750 0.358
P 0.820 0.250 0.642

---

Entry Q
The following is a PBE-GGA calculation of a geometry-optimized UTcP structure, from the Alexandria database.

Symmetry: P-62m, No. 189

Unit cell a=6.684 b=6.684 c=3.957 alpha=90.00 beta=90.00 gamma=120.00
Atoms (fractional coordinates):
U 0.000 0.574 0.000
U 0.426 0.426 0.000
U 0.574 0.000 0.000
Tc 0.000 0.246 0.500
Tc 0.246 0.000 0.500
Tc 0.754 0.754 0.500
P 0.000 0.000 0.000
P 0.333 0.667 0.500
P 0.667 0.333 0.500

---

Last place for stability: entry P

---

Entry P
The following is a PBE-GGA calculation of a geometry-optimized UTcP structure, from the Alexandria database.

Symmetry: Cmcm, No. 63

Unit cell a=5.907 b=5.907 c=4.428 alpha=90.00 beta=90.00 gamma=140.22
Atoms (fractional coordinates):
U 0.063 0.937 0.750
U 0.937 0.063 0.250
Tc 0.247 0.753 0.250
Tc 0.753 0.247 0.750
P 0.366 0.634 0.750
P 0.634 0.366 0.250

---

Entry Q
The following is a PBE-GGA calculation of a geometry-optimized UTcP structure, from the Alexandria database.

Symmetry: P-6m2, No. 187

Unit cell a=4.212 b=4.212 c=3.389 alpha=90.00 beta=90.00 gamma=120.00
Atoms (fractional coordinates):
U 0.000 0.000 0.000
Tc 0.667 0.333 0.500
P 0.333 0.667 0.500

---

Last place for stability: entry P

---

Entry P
The following is a PBE-GGA calculation of a geometry-optimized UTc3P structure, from the Alexandria database.

Symmetry: Amm2, No. 38

Unit cell a=4.312 b=4.481 c=4.481 alpha=104.38 beta=90.00 gamma=90.00
Atoms (fractional coordinates):
U 0.000 0.000 0.000
Tc 0.000 0.483 0.483
Tc 0.500 0.062 0.449
Tc 0.500 0.449 0.062
P 0.500 0.637 0.637

---

Entry Q
The following is a PBE-GGA calculation of a geometry-optimized UTc3P structure, from the Alexandria database.

Symmetry: I-4m2, No. 119

Unit cell a=8.825 b=8.825 c=8.825 alpha=147.74 beta=147.74 gamma=46.28
Atoms (fractional coordinates):
U 0.122 0.122 0.000
U 0.878 0.878 0.000
Tc 0.373 0.130 0.757
Tc 0.373 0.617 0.243
Tc 0.383 0.627 0.757
Tc 0.533 0.033 0.500
Tc 0.870 0.627 0.243
Tc 0.967 0.467 0.500
P 0.250 0.750 0.500
P 0.500 0.500 0.000

---

Last place for stability: entry Q